# Ta2TiGa2

Ta2TiGa2 after structural relaxation (PBEsol, the Alexandria database).

Results
For the size of the total moment, the calculation gives 0.000 μB/atom. For the formation energy, the calculation gives -31.35 kJ per mole of atoms. Its density of states at the Fermi level is 7.42 states/eV/cell.

abc: 6.789 6.789 3.491
angles: 90.00 90.00 90.00
Space group P4/mbm (No. 127)
Inequivalent atoms, fractional coordinates:
1 Ta 0.173 0.327 0.000 x4
2 Ti 0.000 0.000 0.500 x2
3 Ga 0.128 0.628 0.500 x4


# Ta3TiGa

Ta3TiGa after structural relaxation (PBEsol, the Alexandria database).

Results
For the size of the total moment, the calculation gives 0.000 μB/atom. For the formation energy, the calculation gives 135.96 kJ per mole of atoms. Its density of states at the Fermi level is 4.89 states/eV/cell. For the offset from the most stable computed form, the calculation gives 0.220 eV/atom.

abc: 4.619 4.619 4.619
angles: 90.00 90.00 90.00
Space group Pm-3m (No. 221)
Inequivalent atoms, fractional coordinates:
1 Ta 0.000 0.000 0.500 x3
2 Ti 0.000 0.000 0.000 x1
3 Ga 0.500 0.500 0.500 x1